Entry 1:
Sc2Al2Ir3 (PBE-GGA, relaxed); energy = -7.57 eV/atom; energy relative to the elements = -0.89 eV per atom; total magnetization = 0.00 Bohr magnetons per cell
1.0
-3.992 1.062 -1.804
3.589 -0.646 -2.687
0.541 -6.850 0.399
Sc Al Ir
2 2 3
direct
0.745 0.333 0.156
0.255 0.667 0.844
0.193 0.999 0.387
0.807 0.001 0.613
0.523 0.329 0.716
0.477 0.671 0.284
0.000 0.000 0.000

Entry 2:
Sc6Al3Ir (PBE-GGA, relaxed); energy = -6.31 eV/atom; energy relative to the elements = -0.50 eV per atom; total magnetization = 0.00 Bohr magnetons per cell
1.0
-3.796 -0.363 -2.921
-3.255 -5.834 4.955
-3.350 9.433 3.181
Sc Ir Al
12 2 6
direct
0.250 0.137 0.164
0.250 0.234 0.496
0.750 0.863 0.836
0.250 0.099 0.864
0.250 0.848 0.311
0.750 0.152 0.689
0.250 0.460 0.082
0.750 0.766 0.504
0.250 0.675 0.666
0.750 0.901 0.136
0.750 0.540 0.918
0.750 0.325 0.334
0.750 0.043 0.408
0.250 0.957 0.592
0.250 0.524 0.375
0.250 0.399 0.783
0.250 0.772 0.973
0.750 0.601 0.217
0.750 0.228 0.027
0.750 0.476 0.625

Entry 3:
ScAlIr2 (PBE-GGA, relaxed); energy = -7.69 eV/atom; energy relative to the elements = -0.74 eV per atom; total magnetization = 0.00 Bohr magnetons per cell
1.0
-1.583 -1.691 -4.829
-3.251 -4.226 -0.495
0.642 4.856 2.164
Ir Sc Al
2 1 1
direct
0.012 0.012 0.000
0.753 0.253 0.500
0.502 0.502 0.000
0.233 0.733 0.500